Compound: RbSc2Ag2
Source: the Alexandria database
Functional: PBE-GGA
Structure: optimized geometry

The calculation puts the energy above the most stable polymorph in this dataset at 0.043 eV/atom. For the density of states at the Fermi level, the calculation gives 5.57 states/eV per cell. The calculated total energy is -3.687 eV per atom.

a b c (Å): 7.8126 7.8126 7.8126
angles (deg): 146.30 146.30 48.40
Closest atoms and distances in Å follow each position.
Element x y z (fractional)
1 Rb 0.0000 0.0000 0.0000  8 Ag 3.63
2 Sc 0.2500 0.7500 0.5000  4 Ag 2.93, 4 Sc 3.20
3 Sc 0.7500 0.2500 0.5000  4 Ag 2.93, 4 Sc 3.20
4 Ag 0.3807 0.3807 0.0000  4 Sc 2.93
5 Ag 0.6193 0.6193 0.0000  4 Sc 2.93